PBE-GGA Ac12Pd6Ru, relaxed; SG = R-3, No. 148; crystal system = trigonal; formation energy = -9.23 eV/f.u.; DOS at the Fermi energy = 18.1 states/eV/f.u.
1.0
-4.2862 5.1345 -5.8622
4.7016 -4.7821 -5.8419
-6.5117 -5.8990 1.3786
Ac Pd Ru
12 6 1
Cartesian
-2.6020 -4.3953 -2.7009 Ac
-4.2613 -0.3680 -3.8846 Ac
-8.1756 0.4643 -4.6519 Ac
2.0793 -6.0108 -5.6736 Ac
1.1007 -1.1000 -9.2885 Ac
-5.8209 -3.8149 -4.8200 Ac
-3.4943 -1.1512 -7.6246 Ac
-3.1857 2.9028 -7.3531 Ac
-7.1970 -4.4465 -1.0370 Ac
-2.9106 -8.4493 -2.9724 Ac
-0.2754 -1.7316 -5.5055 Ac
-1.8350 -5.1786 -6.4409 Ac
-1.3079 -2.9045 -8.6178 Pd
-4.7884 -2.6420 -1.7077 Pd
0.3407 -4.1680 -3.9163 Pd
-4.1023 -6.4957 -5.0389 Pd
-1.9940 0.9492 -5.2866 Pd
-6.4370 -1.3785 -6.4092 Pd
0.0000 0.0000 0.0000 Ru


PBE-GGA Ac4PdRu2, relaxed; SG = Cm, No. 8; crystal system = monoclinic; excess energy over the best structure of this formula in the dataset = 4.6 meV/atom; formation energy = -2.12 eV/f.u.; DOS at the Fermi energy = 3.8 states/eV/f.u.
1.0
7.4032 0.1664 -2.1723
1.8776 7.1622 -2.1751
-0.1187 -0.0905 8.1074
Pd Ru Ac
2 4 8
Cartesian
7.7986 6.1588 -2.1403 Pd
7.7435 6.1170 2.0264 Pd
3.1024 2.4505 0.0932 Ru
7.5405 3.0809 2.0898 Ru
3.1739 2.5085 4.1278 Ru
4.7429 6.6228 2.0884 Ru
5.7088 4.5091 0.1674 Ac
5.6507 4.4648 4.0409 Ac
0.9941 0.7877 6.2415 Ac
4.7049 1.0922 6.1514 Ac
2.2745 4.5371 2.0861 Ac
2.1499 4.3270 6.1501 Ac
4.9397 1.1627 2.0875 Ac
1.1410 0.9022 2.3309 Ac


PBE-GGA Ac3Pd2Ru, relaxed; SG = Immm, No. 71; crystal system = orthorhombic; formation energy = -2.97 eV/f.u.; DOS at the Fermi energy = 3.4 states/eV/f.u.
1.0
6.1198 0.0000 0.0000
0.0000 8.6980 0.0029
-3.0599 -2.1749 6.5377
Ac Pd Ru
6 4 2
Cartesian
3.0613 2.1732 4.5187 Ac
-0.0015 4.3499 2.0219 Ac
3.0606 6.5235 0.0022 Ac
0.0015 0.0010 2.0204 Ac
3.0592 2.1745 0.0007 Ac
3.0584 6.5222 4.5202 Ac
3.0585 4.3486 2.2815 Pd
-0.0014 6.5235 4.2605 Pd
0.0014 2.1745 4.2591 Pd
3.0613 -0.0004 2.2801 Pd
0.0024 6.5235 0.0022 Ru
6.1174 2.1745 0.0007 Ru


PBE-GGA Ac8Pd4Ru, relaxed; SG = R-3m, No. 166; crystal system = trigonal; formation energy = -6.54 eV/f.u.; DOS at the Fermi energy = 10.0 states/eV/f.u.
1.0
-4.9720 6.9328 1.4572
-8.3138 -0.1977 -2.3980
-6.1339 -0.4188 6.0917
Ac Ru Pd
8 1 4
Cartesian
-7.9502 1.4194 4.2662 Ac
-7.3888 4.9719 2.0267 Ac
-14.4747 4.7079 3.8393 Ac
-12.0309 1.3444 3.1242 Ac
-11.4695 4.8969 0.8847 Ac
-10.4161 4.7901 4.9872 Ac
-9.0036 1.5262 0.1638 Ac
-4.9450 1.6084 1.3116 Ac
-9.7099 3.1582 2.5755 Ru
0.0000 0.0000 0.0000 Pd
-6.6429 3.3676 -0.4704 Pd
-7.2239 -0.3083 1.8469 Pd
-5.5530 3.2570 3.7744 Pd